(1)
# Fe2CoCl

A relaxed structure of Fe2CoCl (PBE-GGA, Alexandria via LeMat-Bulk).

Output
- total moment (μB per atom) = 1.912
- relative energy among the computed polymorphs (meV per atom) = 395
- theoretical density (g/cm³) = 6.46
- ΔE_f (raw) (eV per atom) = 0.533

```
data_Fe2CoCl
_cell_length_a 4.476
_cell_length_b 4.476
_cell_length_c 2.790
_cell_angle_alpha 90.00
_cell_angle_beta 90.00
_cell_angle_gamma 108.61
_symmetry_space_group_name_H-M 'P 1'
_symmetry_Int_Tables_number 1
loop_
_symmetry_equiv_pos_as_xyz
'x,y,z'
loop_
_atom_site_label
_atom_site_fract_x
_atom_site_fract_y
_atom_site_fract_z
Fe1 0.000 0.000 0.000
Fe2 0.500 0.500 0.000
Cl1 0.500 0.000 0.500
Co1 0.000 0.500 0.500
```

***

(2)
# FeCoCl

A relaxed structure of FeCoCl (PBE-GGA, Alexandria via LeMat-Bulk).

Output
- total moment (μB per atom) = 1.471
- relative energy among the computed polymorphs (meV per atom) = 464
- theoretical density (g/cm³) = 5.47
- ΔE_f (raw) (eV per atom) = 0.643

```
data_FeCoCl
_cell_length_a 4.009
_cell_length_b 4.009
_cell_length_c 4.009
_cell_angle_alpha 60.00
_cell_angle_beta 60.00
_cell_angle_gamma 60.00
_symmetry_space_group_name_H-M 'P 1'
_symmetry_Int_Tables_number 1
loop_
_symmetry_equiv_pos_as_xyz
'x,y,z'
loop_
_atom_site_label
_atom_site_fract_x
_atom_site_fract_y
_atom_site_fract_z
Fe1 0.000 0.000 0.000
Co1 0.750 0.750 0.750
Cl1 0.500 0.500 0.500
```

***

(3)
# FeCo2Cl2

A relaxed structure of FeCo2Cl2 (PBE-GGA, Alexandria via LeMat-Bulk).

Output
- total moment (μB per atom) = 1.545
- relative energy among the computed polymorphs (meV per atom) = 244
- theoretical density (g/cm³) = 4.91
- ΔE_f (raw) (eV per atom) = 0.641

```
data_FeCo2Cl2
_cell_length_a 3.978
_cell_length_b 3.978
_cell_length_c 5.933
_cell_angle_alpha 70.41
_cell_angle_beta 70.41
_cell_angle_gamma 90.00
_symmetry_space_group_name_H-M 'P 1'
_symmetry_Int_Tables_number 1
loop_
_symmetry_equiv_pos_as_xyz
'x,y,z'
loop_
_atom_site_label
_atom_site_fract_x
_atom_site_fract_y
_atom_site_fract_z
Cl1 0.250 0.750 0.500
Co1 0.606 0.606 0.788
Fe1 0.000 0.000 0.000
Cl2 0.750 0.250 0.500
Co2 0.394 0.394 0.212
```

***

(4)
# Fe2CoCl

A relaxed structure of Fe2CoCl (PBE-GGA, Alexandria via LeMat-Bulk).

Output
- total moment (μB per atom) = 1.991
- relative energy among the computed polymorphs (meV per atom) = 517
- theoretical density (g/cm³) = 6.35
- ΔE_f (raw) (eV per atom) = 0.655

```
data_Fe2CoCl
_cell_length_a 3.933
_cell_length_b 3.702
_cell_length_c 3.702
_cell_angle_alpha 90.00
_cell_angle_beta 90.00
_cell_angle_gamma 90.00
_symmetry_space_group_name_H-M 'P 1'
_symmetry_Int_Tables_number 1
loop_
_symmetry_equiv_pos_as_xyz
'x,y,z'
loop_
_atom_site_label
_atom_site_fract_x
_atom_site_fract_y
_atom_site_fract_z
Fe1 0.000 0.500 0.500
Co1 0.500 0.000 0.500
Cl1 0.500 0.500 0.000
Fe2 0.000 0.000 0.000
```